(1)
Computed, not measured: an optimized crystal structure of ZrTa2Mo at the GGA-PBE level of DFT.

Results
- Density of states at the Fermi level: 1.394 states/eV per atom
- Symmetry: Pmmm
- Formation enthalpy at 0 K: 0.059 eV/atom

Geometry as extended XYZ:
```
4
Lattice="3.325 0.000 0.000 0.000 4.674 0.000 0.000 0.000 4.751" Properties=species:S:1:pos:R:3 pbc="T T T"
Zr 1.662 0.000 2.375
Ta 1.662 2.337 0.000
Ta 0.000 0.000 0.000
Mo 0.000 2.337 2.375
```

=====

(2)
Computed, not measured: an optimized crystal structure of ZrTa2Mo at the GGA-PBE level of DFT.

Results
- Density of states at the Fermi level: 1.585 states/eV per atom
- Symmetry: F-43m
- Formation enthalpy at 0 K: 0.053 eV/atom

Geometry as extended XYZ:
```
4
Lattice="4.681 -0.481 0.000 0.479 4.681 0.000 -2.580 -2.100 3.328" Properties=species:S:1:pos:R:3 pbc="T T T"
Zr 2.580 2.100 0.000
Ta 0.240 2.341 1.664
Ta 0.000 0.000 0.000
Mo 2.340 -0.241 1.664
```

=====

(3)
Computed, not measured: an optimized crystal structure of ZrTa2Mo at the GGA-PBE level of DFT.

Results
- Density of states at the Fermi level: 1.318 states/eV per atom
- Symmetry: P4/mmm
- Formation enthalpy at 0 K: 0.080 eV/atom

Geometry as extended XYZ:
```
4
Lattice="-1.458 4.102 1.777 -4.461 -1.459 -0.295 0.208 -1.258 3.076" Properties=species:S:1:pos:R:3 pbc="T T T"
Mo -2.126 -1.359 1.391
Ta 0.000 0.000 0.000
Ta -2.959 1.321 0.741
Zr -0.625 1.422 2.427
```

=====

(4)
Computed, not measured: an optimized crystal structure of Zr3TaMo at the GGA-PBE level of DFT.

Results
- Density of states at the Fermi level: 1.594 states/eV per atom
- Symmetry: Pm-3m
- Formation enthalpy at 0 K: 1.056 eV/atom

Geometry as extended XYZ:
```
5
Lattice="4.963 0.000 0.000 0.000 4.963 0.000 0.000 0.000 4.963" Properties=species:S:1:pos:R:3 pbc="T T T"
Zr 0.000 0.000 2.482
Zr 2.482 0.000 0.000
Zr 0.000 2.482 0.000
Mo 0.000 0.000 0.000
Ta 2.482 2.482 2.482
```